Entry 1:
# La2ZrMo, relaxed, DFT PBE-GGA
# * raw total energy: -7.00 eV per atom
# * total magnetization: 0.00 μB/f.u.
# * calculated density: 7.4 g cm⁻³
# * formation energy: 0.307 eV per atom
# * E above lowest polymorph: 0.44 eV/f.u.
data_La2ZrMo
_chemical_formula_sum 'La2 Zr1 Mo1'
_cell_length_a 3.362
_cell_length_b 4.571
_cell_length_c 6.920
_cell_angle_alpha 90.00
_cell_angle_beta 102.63
_cell_angle_gamma 90.00
_space_group_name_H-M_alt 'P 1 m 1'
_space_group_IT_number 6
loop_
_space_group_symop_operation_xyz
'x,y,z'
'x,-y,z'
loop_
_atom_site_label
_atom_site_type_symbol
_atom_site_fract_x
_atom_site_fract_y
_atom_site_fract_z
_atom_site_occupancy
La1 La 0.000 0.000 0.000 1
La2 La 0.323 0.500 0.680 1
Zr1 Zr 0.619 0.000 0.422 1
Mo1 Mo 0.824 0.500 0.245 1



Entry 2:
# AgTeOs2, relaxed, DFT PBE-GGA
# * raw total energy: -6.22 eV per atom
# * total magnetization: 0.00 μB/f.u.
# * calculated density: 13.9 g cm⁻³
# * formation energy (no corrections): 0.89 eV per atom
data_AgTeOs2
_chemical_formula_sum 'Ag2 Te2 Os4'
_cell_length_a 2.895
_cell_length_b 5.048
_cell_length_c 10.092
_cell_angle_alpha 90.00
_cell_angle_beta 90.00
_cell_angle_gamma 90.00
_space_group_name_H-M_alt 'C m m 2'
_space_group_IT_number 35
loop_
_space_group_symop_operation_xyz
'x,y,z'
'-x,-y,z'
'-x,y,z'
'x,-y,z'
'x+1/2,y+1/2,z'
'-x+1/2,-y+1/2,z'
'-x+1/2,y+1/2,z'
'x+1/2,-y+1/2,z'
loop_
_atom_site_label
_atom_site_type_symbol
_atom_site_fract_x
_atom_site_fract_y
_atom_site_fract_z
_atom_site_occupancy
Ag1 Ag 0.000 0.000 0.000 1
Te1 Te 0.000 0.500 0.702 1
Os1 Os 0.000 0.000 0.453 1
Os2 Os 0.000 0.500 0.245 1



Entry 3:
# LiPr2Cu, relaxed, DFT PBE-GGA
# * raw total energy: -3.67 eV per atom
# * total magnetization: 0.00 μB/f.u.
# * calculated density: 4.8 g cm⁻³
# * formation energy: 0.224 eV per atom
# * E above lowest polymorph: 0.93 eV/f.u.
data_LiPr2Cu
_chemical_formula_sum 'Li3 Pr6 Cu3'
_cell_length_a 3.5456
_cell_length_b 3.5456
_cell_length_c 33.2680
_cell_angle_alpha 90.00
_cell_angle_beta 90.00
_cell_angle_gamma 120.00
_space_group_name_H-M_alt 'R -3 m'
_space_group_IT_number 166
_space_group_name_Hall '-R 3 2"'
loop_
_atom_site_label
_atom_site_type_symbol
_atom_site_fract_x
_atom_site_fract_y
_atom_site_fract_z
_atom_site_occupancy
Li1 Li 0.0000 0.0000 0.0000 1
Pr1 Pr 0.0000 0.0000 0.1024 1
Cu1 Cu 0.0000 0.0000 0.5000 1



Entry 4:
# ScTa3Re, relaxed, DFT PBE-GGA
# * raw total energy: -9.87 eV per atom
# * total magnetization: 0.00 μB/f.u.
# * calculated density: 11.0 g cm⁻³
# * formation energy: 1.002 eV per atom
# * E above lowest polymorph: 0.00 eV/f.u.
data_ScTa3Re
_chemical_formula_sum 'Sc1 Ta3 Re1'
_cell_length_a 4.882
_cell_length_b 4.882
_cell_length_c 4.882
_cell_angle_alpha 90.00
_cell_angle_beta 90.00
_cell_angle_gamma 90.00
_space_group_name_H-M_alt 'P m -3 m'
_space_group_IT_number 221
_space_group_name_Hall '-P 4 2 3'
loop_
_atom_site_label
_atom_site_type_symbol
_atom_site_fract_x
_atom_site_fract_y
_atom_site_fract_z
_atom_site_occupancy
Sc1 Sc 0.000 0.000 0.000 1
Ta1 Ta 0.000 0.500 0.500 1
Re1 Re 0.500 0.500 0.500 1



Entry 5:
# AsHOsPd, relaxed, DFT PBE-GGA
# * raw total energy: -6.00 eV per atom
# * total magnetization: 0.00 μB/f.u.
# * calculated density: 11.5 g cm⁻³
# * E above lowest polymorph: 0.03 eV/f.u.
data_AsHOsPd
_chemical_formula_sum 'As2 H2 Os2 Pd2'
_cell_length_a 8.513
_cell_length_b 3.016
_cell_length_c 4.681
_cell_angle_alpha 90.00
_cell_angle_beta 116.49
_cell_angle_gamma 90.00
_space_group_name_H-M_alt 'C 1 m 1'
_space_group_IT_number 8
loop_
_space_group_symop_operation_xyz
'x,y,z'
'x,-y,z'
'x+1/2,y+1/2,z'
'x+1/2,-y+1/2,z'
loop_
_atom_site_label
_atom_site_type_symbol
_atom_site_fract_x
_atom_site_fract_y
_atom_site_fract_z
_atom_site_occupancy
As1 As 0.000 0.000 0.000 1
H1 H 0.034 0.500 0.538 1
Os1 Os 0.197 0.500 0.911 1
Pd1 Pd 0.288 0.000 0.475 1



Entry 6:
# BiBOs2, relaxed, DFT PBE-GGA
# * raw total energy: -7.46 eV per atom
# * total magnetization: 0.00 μB/f.u.
# * calculated density: 13.2 g cm⁻³
# * formation energy: 0.791 eV per atom
# * E above lowest polymorph: 0.00 eV/f.u.
data_BiBOs2
_chemical_formula_sum 'Bi4 B4 Os8'
_cell_length_a 4.712
_cell_length_b 4.712
_cell_length_c 13.561
_cell_angle_alpha 90.00
_cell_angle_beta 90.00
_cell_angle_gamma 90.00
_space_group_name_H-M_alt 'I -4 2 d'
_space_group_IT_number 122
_space_group_name_Hall 'I -4 2bw'
loop_
_atom_site_label
_atom_site_type_symbol
_atom_site_fract_x
_atom_site_fract_y
_atom_site_fract_z
_atom_site_occupancy
Bi1 Bi 0.000 0.000 0.000 1
B1 B 0.000 0.000 0.500 1
Os1 Os 0.100 0.250 0.625 1



Entry 7:
# PmSmDy2Se6, relaxed, DFT PBE-GGA
# * raw total energy: -5.81 eV per atom
# * total magnetization: 0.00 μB/f.u.
# * calculated density: 6.0 g cm⁻³
# * formation energy (no corrections): -1.85 eV per atom
data_PmSmDy2Se6
_chemical_formula_sum 'Pm3 Sm3 Dy6 Se18'
_cell_length_a 7.3085
_cell_length_b 7.3085
_cell_length_c 19.5634
_cell_angle_alpha 90.00
_cell_angle_beta 90.00
_cell_angle_gamma 120.00
_space_group_name_H-M_alt 'R 3'
_space_group_IT_number 146
_space_group_name_Hall 'R 3'
loop_
_atom_site_label
_atom_site_type_symbol
_atom_site_fract_x
_atom_site_fract_y
_atom_site_fract_z
_atom_site_occupancy
Pm1 Pm 0.0000 0.0000 0.0000 1
Sm1 Sm 0.0000 0.0000 0.4991 1
Dy1 Dy 0.0000 0.0000 0.3002 1
Dy2 Dy 0.0000 0.0000 0.8008 1
Se1 Se 0.0121 0.3089 0.8968 1
Se2 Se 0.0149 0.7060 0.3967 1



Entry 8:
# TaBi3Ru, relaxed, DFT PBE-GGA
# * raw total energy: -5.29 eV per atom
# * total magnetization: 0.00 μB/f.u.
# * calculated density: 10.7 g cm⁻³
# * formation energy: 1.268 eV per atom
# * E above lowest polymorph: 0.00 eV/f.u.
data_TaBi3Ru
_chemical_formula_sum 'Ta1 Bi3 Ru1'
_cell_length_a 5.208
_cell_length_b 5.208
_cell_length_c 5.208
_cell_angle_alpha 90.00
_cell_angle_beta 90.00
_cell_angle_gamma 90.00
_space_group_name_H-M_alt 'P m -3 m'
_space_group_IT_number 221
_space_group_name_Hall '-P 4 2 3'
loop_
_atom_site_label
_atom_site_type_symbol
_atom_site_fract_x
_atom_site_fract_y
_atom_site_fract_z
_atom_site_occupancy
Ta1 Ta 0.000 0.000 0.000 1
Bi1 Bi 0.000 0.500 0.500 1
Ru1 Ru 0.500 0.500 0.500 1



Entry 9:
# In2AsBr, relaxed, DFT PBE-GGA
# * raw total energy: -2.95 eV per atom
# * total magnetization: 0.00 μB/f.u.
# * calculated density: 5.4 g cm⁻³
# * E above lowest polymorph: 1.13 eV/f.u.
# * formation energy (no corrections): 0.00 eV per atom
data_In2AsBr
_chemical_formula_sum 'In4 As2 Br2'
_cell_length_a 4.138
_cell_length_b 4.138
_cell_length_c 13.854
_cell_angle_alpha 90.00
_cell_angle_beta 90.00
_cell_angle_gamma 90.00
_space_group_name_H-M_alt 'I -4 m 2'
_space_group_IT_number 119
_space_group_name_Hall 'I -4 -2'
loop_
_atom_site_label
_atom_site_type_symbol
_atom_site_fract_x
_atom_site_fract_y
_atom_site_fract_z
_atom_site_occupancy
In1 In 0.000 0.000 0.000 1
In2 In 0.000 0.500 0.250 1
As1 As 0.000 0.500 0.750 1
Br1 Br 0.000 0.000 0.500 1



Entry 10:
# BaLaSi2Rh, relaxed, DFT PBE-GGA
# * raw total energy: -3.18 eV per atom
# * total magnetization: 0.80 μB/f.u.
# * calculated density: 4.3 g cm⁻³
# * formation energy (no corrections): 1.83 eV per atom
data_BaLaSi2Rh
_chemical_formula_sum 'Ba1 La1 Si2 Rh1'
_cell_length_a 5.375
_cell_length_b 5.375
_cell_length_c 5.783
_cell_angle_alpha 90.00
_cell_angle_beta 90.00
_cell_angle_gamma 90.00
_space_group_name_H-M_alt 'P 4/m m m'
_space_group_IT_number 123
_space_group_name_Hall '-P 4 2'
loop_
_atom_site_label
_atom_site_type_symbol
_atom_site_fract_x
_atom_site_fract_y
_atom_site_fract_z
_atom_site_occupancy
Ba1 Ba 0.000 0.000 0.000 1
La1 La 0.000 0.000 0.500 1
Si1 Si 0.000 0.500 0.000 1
Rh1 Rh 0.500 0.500 0.500 1



Entry 11:
# TiTl3Ag, relaxed, DFT PBE-GGA
# * raw total energy: -2.95 eV per atom
# * total magnetization: 0.00 μB/f.u.
# * calculated density: 8.0 g cm⁻³
# * formation energy: 0.622 eV per atom
# * E above lowest polymorph: 0.00 eV/f.u.
data_TiTl3Ag
_chemical_formula_sum 'Ti1 Tl3 Ag1'
_cell_length_a 5.416
_cell_length_b 5.416
_cell_length_c 5.416
_cell_angle_alpha 90.00
_cell_angle_beta 90.00
_cell_angle_gamma 90.00
_space_group_name_H-M_alt 'P m -3 m'
_space_group_IT_number 221
_space_group_name_Hall '-P 4 2 3'
loop_
_atom_site_label
_atom_site_type_symbol
_atom_site_fract_x
_atom_site_fract_y
_atom_site_fract_z
_atom_site_occupancy
Ti1 Ti 0.000 0.000 0.000 1
Tl1 Tl 0.000 0.000 0.500 1
Ag1 Ag 0.500 0.500 0.500 1



Entry 12:
# VICl, relaxed, DFT PBE-GGA
# * raw total energy: -4.94 eV per atom
# * total magnetization: 3.00 μB/f.u.
# * calculated density: 3.9 g cm⁻³
# * E above lowest polymorph: 0.00 eV/f.u.
# * formation energy (no corrections): -0.77 eV per atom
data_VICl
_chemical_formula_sum 'V4 I4 Cl4'
_cell_length_a 14.219
_cell_length_b 3.878
_cell_length_c 6.646
_cell_angle_alpha 90.00
_cell_angle_beta 90.05
_cell_angle_gamma 90.00
_space_group_name_H-M_alt 'C 1 2/m 1'
_space_group_IT_number 12
loop_
_space_group_symop_operation_xyz
'x,y,z'
'-x,-y,-z'
'-x,y,-z'
'x,-y,z'
'x+1/2,y+1/2,z'
'-x+1/2,-y+1/2,-z'
'-x+1/2,y+1/2,-z'
'x+1/2,-y+1/2,z'
loop_
_atom_site_label
_atom_site_type_symbol
_atom_site_fract_x
_atom_site_fract_y
_atom_site_fract_z
_atom_site_occupancy
V1 V 0.000 0.000 0.000 1
V2 V 0.000 0.500 0.500 1
I1 I 0.122 0.000 0.663 1
Cl1 Cl 0.083 0.500 0.169 1



Entry 13:
# TiRhN2, relaxed, DFT PBE-GGA
# * raw total energy: -7.83 eV per atom
# * total magnetization: 0.00 μB/f.u.
# * calculated density: 7.7 g cm⁻³
# * E above lowest polymorph: 2.47 eV/f.u.
# * formation energy (no corrections): 0.14 eV per atom
data_TiRhN2
_chemical_formula_sum 'Ti4 Rh4 N8'
_cell_length_a 5.372
_cell_length_b 5.372
_cell_length_c 5.372
_cell_angle_alpha 90.00
_cell_angle_beta 90.00
_cell_angle_gamma 90.00
_space_group_name_H-M_alt 'F m -3 m'
_space_group_IT_number 225
_space_group_name_Hall '-F 4 2 3'
loop_
_atom_site_label
_atom_site_type_symbol
_atom_site_fract_x
_atom_site_fract_y
_atom_site_fract_z
_atom_site_occupancy
Ti1 Ti 0.000 0.000 0.000 1
Rh1 Rh 0.000 0.000 0.500 1
N1 N 0.250 0.250 0.250 1



Entry 14:
# PaCo2Si2Tc, relaxed, DFT PBE-GGA
# * raw total energy: -8.07 eV per atom
# * total magnetization: 0.00 μB/f.u.
# * calculated density: 9.5 g cm⁻³
# * formation energy (no corrections): -0.58 eV per atom
data_PaCo2Si2Tc
_chemical_formula_sum 'Pa1 Co2 Si2 Tc1'
_cell_length_a 4.0362
_cell_length_b 4.0362
_cell_length_c 6.2264
_cell_angle_alpha 90.00
_cell_angle_beta 90.00
_cell_angle_gamma 120.00
_space_group_name_H-M_alt 'P -3 m 1'
_space_group_IT_number 164
_space_group_name_Hall '-P 3 2"'
loop_
_atom_site_label
_atom_site_type_symbol
_atom_site_fract_x
_atom_site_fract_y
_atom_site_fract_z
_atom_site_occupancy
Pa1 Pa 0.0000 0.0000 0.0000 1
Co1 Co 0.3333 0.6667 0.7220 1
Si1 Si 0.3333 0.6667 0.3255 1
Tc1 Tc 0.0000 0.0000 0.5000 1